[1]
Below is crystalline NpMoOs at its relaxed geometry, with properties calculated at the PBE-GGA level.

CIF file:
```
data_NpMoOs
_space_group_name_H-M_alt 'P 1'
_space_group_IT_number 1
_space_group_name_Hall 'P 1'
_cell_length_a 4.387
_cell_length_b 4.387
_cell_length_c 4.387
_cell_angle_alpha 60.00
_cell_angle_beta 60.00
_cell_angle_gamma 60.00
loop_
_atom_site_label
_atom_site_fract_x
_atom_site_fract_y
_atom_site_fract_z
Np1 0.000 0.000 0.000
Mo1 0.500 0.500 0.500
Os1 0.750 0.750 0.750
```

SG: F-43m
E_tot (eV per atom): -10.97
Offset from the most stable computed form (eV/f.u.): 0.00
Calculated formation energy (eV per atom): 0.646

---

[2]
Below is crystalline CsHoZnS3 at its relaxed geometry, with properties calculated at the PBE-GGA level.

CIF file:
```
data_CsHoZnS3
_space_group_name_H-M_alt 'P 1'
_space_group_IT_number 1
_space_group_name_Hall 'P 1'
_cell_length_a 9.349
_cell_length_b 4.014
_cell_length_c 9.853
_cell_angle_alpha 90.00
_cell_angle_beta 111.69
_cell_angle_gamma 90.00
loop_
_atom_site_label
_atom_site_fract_x
_atom_site_fract_y
_atom_site_fract_z
Cs1 0.217 0.250 0.243
Cs2 0.783 0.750 0.757
Ho1 0.333 0.750 0.862
Ho2 0.667 0.250 0.138
Zn1 0.084 0.250 0.612
Zn2 0.916 0.750 0.388
S1 0.129 0.250 0.857
S2 0.187 0.750 0.545
S3 0.477 0.750 0.152
S4 0.523 0.250 0.848
S5 0.813 0.250 0.455
S6 0.871 0.750 0.143
```

SG: P2_1/m
E_tot (eV per atom): -4.68

---

- E_tot of number 2 (CsHoZnS3)?
  -4.68 eV per atom